Record 1
## Tc3Rh (PBE-GGA)

Data for crystalline Tc3Rh at its relaxed geometry.

Its energy above the lowest structure with this stoichiometry is 60.2 meV/atom.

It has space group P6_3/mmc (No. 194), with a = 5.4944 Å, b = 5.4944 Å, c = 8.8065 Å, α = 90.00°, β = 90.00° and γ = 120.00°. The asymmetric unit holds Tc at (0.0000, 0.5000, 0.0000), Tc at (0.1705, 0.3410, 0.2500), Rh at (0.0000, 0.0000, 0.0000) and Rh at (0.3333, 0.6667, 0.7500).

---

Record 2
## TcTe2Rh (PBE-GGA)

Data for crystalline TcTe2Rh at its relaxed geometry.

Its energy above the lowest structure with this stoichiometry is 334.8 meV/atom. Its energy relative to the elements, uncorrected is 150 meV per atom.

It has space group R-3m (No. 166, hexagonal axes), with a = 3.3351 Å, b = 3.3351 Å, c = 23.8549 Å, α = 90.00°, β = 90.00° and γ = 120.00°. The asymmetric unit holds Tc at (0.0000, 0.0000, 0.0000), Te at (0.0000, 0.0000, 0.2510) and Rh at (0.0000, 0.0000, 0.5000).

---

Record 3
## TcTe3Rh (PBE-GGA)

Data for crystalline TcTe3Rh at its relaxed geometry.

Its energy above the lowest structure with this stoichiometry is 24.6 meV/atom. Its energy relative to the elements, uncorrected is 969 meV per atom.

It has space group Pm-3m (No. 221), with a = 5.140 Å, b = 5.140 Å, c = 5.140 Å, α = 90.00°, β = 90.00° and γ = 90.00°. The asymmetric unit holds Tc at (0.000, 0.000, 0.000), Te at (0.000, 0.000, 0.500) and Rh at (0.500, 0.500, 0.500).

---

Which magnetization belongs to each record? In order, 0.000 0.000 0.173 μB per atom.
Which VASP energy belongs to each record? In order, -9.7071 -5.8500 -4.4600 eV per atom.